Entry from the Alexandria database: an optimized crystal structure of TaPW2F (PBE with a Hubbard U).

Its crystal system is tetragonal. The calculation puts the density at 12.44 Mg/m³. The total DFT energy (no corrections) comes out at -5.60 eV per atom. The calculation puts the calculated volume at 16.0 A^3/atom. Its total magnetization is 0.52 μB per formula unit.

a b c (Å): 4.301 4.301 4.318
angles (deg): 90.00 90.00 90.00
Atoms (fractional coordinates):
Ta: 0.000 0.000 0.000
P: 0.500 0.500 0.000
W: 0.000 0.500 0.500
W: 0.500 0.000 0.500
F: 0.000 0.000 0.500